Entry from OQMD via LeMat-Bulk: a relaxed structure of HoAlIn (PBE-GGA).

Raw total energy ... -11.59 eV per cell
SG ... No. 216

POSCAR file:
```
HoAlIn
1.0
0.000 3.354 3.354
3.354 0.000 3.354
3.354 3.354 0.000
Al Ho In
1 1 1
Cartesian
0.000 0.000 0.000 Al
1.677 1.677 1.677 Ho
5.030 5.030 5.030 In
```

***

Entry from OQMD via LeMat-Bulk: a relaxed structure of HoAl4InIr (PBE-GGA).

Raw total energy ... -35.33 eV per cell
SG ... No. 123

POSCAR file:
```
HoAl4InIr
1.0
4.362 0.000 0.000
0.000 4.362 0.000
0.000 0.000 6.999
Al Ho In Ir
4 1 1 1
Cartesian
2.181 0.000 2.169 Al
0.000 2.181 2.169 Al
2.181 0.000 4.830 Al
0.000 2.181 4.830 Al
0.000 0.000 0.000 Ho
2.181 2.181 0.000 In
0.000 0.000 3.500 Ir
```

***

Entry from OQMD via LeMat-Bulk: a relaxed structure of Ho3Mg3Al2In (PBE-GGA).

Raw total energy ... -31.61 eV per cell
SG ... No. 189

POSCAR file:
```
Ho3Mg3Al2In
1.0
7.375 0.000 0.000
-3.687 6.387 0.000
0.000 0.000 4.601
Al Ho In Mg
2 3 1 3
Cartesian
3.687 2.129 2.300 Al
0.000 4.258 2.300 Al
4.141 0.000 0.000 Ho
1.617 2.801 0.000 Ho
-2.070 3.586 0.000 Ho
0.000 0.000 0.000 In
1.817 0.000 2.300 Mg
-0.908 1.574 2.300 Mg
2.779 4.813 2.300 Mg
```

***

Entry from OQMD via LeMat-Bulk: a relaxed structure of Nd2HoMg3Al2In (PBE-GGA).

Raw total energy ... -32.09 eV per cell
SG ... No. 38

POSCAR file:
```
Nd2HoMg3Al2In
1.0
-3.289 -2.708 1.891
3.027 1.047 6.762
-5.277 4.725 -2.411
Al Ho In Mg Nd
2 1 1 3 2
Cartesian
-1.409 0.923 4.614 Al
-4.123 2.125 1.616 Al
-0.977 2.505 1.888 Ho
-0.014 0.037 0.028 In
-0.902 -1.094 2.608 Mg
-2.941 -0.191 0.356 Mg
-3.341 2.998 4.226 Mg
0.051 3.706 5.394 Nd
-3.564 5.307 1.401 Nd
```

***

Entry from OQMD via LeMat-Bulk: a relaxed structure of Tb2HoMg3Al2In (PBE-GGA).

Raw total energy ... -31.79 eV per cell
SG ... No. 38

POSCAR file:
```
Tb2HoMg3Al2In
1.0
4.603 0.000 0.000
0.000 6.397 3.707
0.000 -6.397 3.707
Al Ho In Mg Tb
2 1 1 3 2
Cartesian
2.301 2.123 3.709 Al
2.301 -2.123 3.709 Al
0.000 0.000 4.174 Ho
0.000 0.000 7.403 In
2.301 4.822 2.794 Mg
2.301 0.000 1.825 Mg
2.301 -4.822 2.794 Mg
0.000 2.798 1.624 Tb
0.000 -2.798 1.624 Tb
```

***

Entry from OQMD via LeMat-Bulk: a relaxed structure of HoTm2Mg3Al2In (PBE-GGA).

Raw total energy ... -31.28 eV per cell
SG ... No. 38

POSCAR file:
```
HoTm2Mg3Al2In
1.0
4.576 0.000 0.000
0.000 6.362 3.661
0.000 -6.362 3.661
Al Ho In Mg Tm
2 1 1 3 2
Cartesian
2.288 2.129 3.659 Al
2.288 -2.129 3.659 Al
0.000 0.000 4.107 Ho
0.000 0.000 0.012 In
2.288 4.796 2.760 Mg
2.288 0.000 1.803 Mg
2.288 -4.796 2.760 Mg
0.000 3.571 5.264 Tm
0.000 -3.571 5.264 Tm
```

***

Entry from OQMD via LeMat-Bulk: a relaxed structure of Ho2TmMg3Al2In (PBE-GGA).

Raw total energy ... -31.45 eV per cell
SG ... No. 38

POSCAR file:
```
Ho2TmMg3Al2In
1.0
-4.353 -0.202 1.417
2.056 2.338 6.651
-1.904 4.870 -5.156
Al Ho In Mg Tm
2 2 1 3 1
Cartesian
-1.443 3.085 3.416 Al
-2.758 3.926 -0.504 Al
0.901 1.028 2.916 Ho
-0.835 2.138 -2.260 Ho
0.152 7.196 1.492 In
-0.626 1.662 5.722 Mg
-2.139 1.673 1.076 Mg
-3.612 3.570 -3.178 Mg
0.086 4.051 0.840 Tm
```

***

Entry from OQMD via LeMat-Bulk: a relaxed structure of Ho2AlIn3Ni2 (PBE-GGA).

Raw total energy ... -36.09 eV per cell
SG ... No. 8

POSCAR file:
```
Ho2AlIn3Ni2
1.0
5.162 -2.126 0.000
5.162 2.126 0.000
-0.083 0.000 7.240
Al Ho In Ni
1 2 3 2
Cartesian
6.734 0.000 0.393 Al
9.632 0.000 1.776 Ho
0.667 0.000 5.532 Ho
6.589 0.000 3.231 In
3.604 0.000 3.954 In
3.673 0.000 6.885 In
2.105 0.000 1.680 Ni
7.963 0.000 5.509 Ni
```

***

Entry from OQMD via LeMat-Bulk: a relaxed structure of Ho2AlInPt4 (PBE-GGA).

Raw total energy ... -48.39 eV per cell
SG ... No. 164

POSCAR file:
```
Ho2AlInPt4
1.0
4.435 0.000 0.000
-2.218 3.841 0.000
0.000 0.000 9.156
Al Ho In Pt
1 2 1 4
Cartesian
0.000 0.000 0.000 Al
2.218 1.280 2.248 Ho
0.000 2.561 6.908 Ho
0.000 0.000 4.578 In
0.000 2.561 0.745 Pt
0.000 2.561 3.662 Pt
2.218 1.280 5.494 Pt
2.218 1.280 8.411 Pt
```

***

Entry from OQMD via LeMat-Bulk: a relaxed structure of HoAlInTe3 (PBE-GGA).

Raw total energy ... -48.54 eV per cell
SG ... No. 63

POSCAR file:
```
HoAlInTe3
1.0
2.213 -7.531 0.000
2.213 7.531 0.000
0.000 0.000 11.390
Al Ho In Te
2 2 2 6
Cartesian
2.213 -0.485 2.847 Al
2.213 0.485 8.542 Al
0.000 0.000 0.000 Ho
0.000 0.000 5.695 Ho
2.213 4.031 2.847 In
2.213 -4.031 8.542 In
2.213 -2.073 0.661 Te
2.213 -6.327 2.847 Te
2.213 -2.073 5.034 Te
2.213 2.073 6.356 Te
2.213 6.327 8.542 Te
2.213 2.073 10.728 Te
```

***

Entry from OQMD via LeMat-Bulk: a relaxed structure of HoAlIr (PBE-GGA).

Raw total energy ... -39.27 eV per cell
SG ... No. 186

POSCAR file:
```
HoAlIr
1.0
4.397 0.000 0.000
-2.198 3.808 0.000
0.000 0.000 7.011
Al Ho Ir
2 2 2
Cartesian
0.000 2.538 3.449 Al
2.198 1.269 6.955 Al
0.000 0.000 1.726 Ho
0.000 0.000 5.231 Ho
0.000 2.538 0.084 Ir
2.198 1.269 3.589 Ir
```

***

Entry from OQMD via LeMat-Bulk: a relaxed structure of HoAlIr (PBE-GGA).

Raw total energy ... -19.20 eV per cell
SG ... No. 216

POSCAR file:
```
HoAlIr
1.0
3.810 -0.346 2.412
-0.061 0.801 4.450
0.526 -3.413 2.919
Al Ho Ir
1 1 1
Cartesian
0.000 0.000 0.000 Al
2.137 -1.479 4.891 Ho
1.069 -0.740 2.445 Ir
```